(1)
Compound: La3Sm12Tl
Source: Alexandria
Functional: PBE-GGA
Structure: relaxed

abc: 5.0829 5.0829 20.7484
angles: 90.00 90.00 90.00
Closest atoms and distances in Å follow each position.
Atoms (fractional coordinates):
Sm: 0.0000 0.5000 0.3732  8 Sm 3.59-3.71, 4 La 3.64-3.66
Sm: 0.0000 0.5000 0.6268  8 Sm 3.59-3.71, 4 La 3.64-3.66
Sm: 0.5000 0.5000 0.7570  4 La 3.60, 8 Sm 3.62-3.71
Sm: 0.5000 0.0000 0.6268  8 Sm 3.59-3.71, 4 La 3.64-3.66
Sm: 0.0000 0.5000 0.8809  2 Tl 3.54, 8 Sm 3.54-3.62, 2 La 3.69
Sm: 0.5000 0.5000 0.2430  4 La 3.60, 8 Sm 3.62-3.71
Sm: 0.5000 0.0000 0.1191  2 Tl 3.54, 8 Sm 3.54-3.62, 2 La 3.69
Sm: 0.5000 0.5000 0.5000  4 La 3.59, 8 Sm 3.66
Sm: 0.5000 0.0000 0.3732  8 Sm 3.59-3.71, 4 La 3.64-3.66
Sm: 0.5000 0.0000 0.8809  2 Tl 3.54, 8 Sm 3.54-3.62, 2 La 3.69
Sm: 0.0000 0.5000 0.1191  2 Tl 3.54, 8 Sm 3.54-3.62, 2 La 3.69
Sm: 0.5000 0.5000 0.0000  8 Sm 3.54, 4 Tl 3.59
La: 0.0000 0.0000 0.5000  12 Sm 3.59-3.66
La: 0.0000 0.0000 0.2479  12 Sm 3.60-3.69
La: 0.0000 0.0000 0.7521  12 Sm 3.60-3.69
Tl: 0.0000 0.0000 0.0000  12 Sm 3.54-3.59

## Properties
E_tot	-4.63	eV/atom
ΔE_f	-20	meV per atom

---

(2)
Compound: Sr4Tl3
Source: Alexandria
Functional: PBE-GGA
Structure: relaxed

abc: 6.6844 6.6844 7.0210
angles: 90.00 90.00 120.00
Closest atoms and distances in Å follow each position.
Atoms (fractional coordinates):
Sr: 0.3333 0.6667 0.5000  9 Sr 3.86-4.28, 6 Tl 4.01
Sr: 0.6667 0.3333 0.5000  9 Sr 3.86-4.28, 6 Tl 4.01
Sr: 0.0000 0.0000 0.2361  2 Sr 3.32-3.71
Sr: 0.0000 0.0000 0.7639  2 Sr 3.32-3.71
Tl: 0.0000 0.5000 0.0000  4 Tl 3.34, 4 Sr 3.73
Tl: 0.5000 0.0000 0.0000  4 Tl 3.34, 4 Sr 3.73
Tl: 0.5000 0.5000 0.0000  4 Tl 3.34, 4 Sr 3.73

## Properties
E_tot	-2.12	eV/atom
ΔE_f	-144	meV per atom
energy above the lowest structure with this stoichiometry	0.205	eV/atom

---

(3)
Compound: Ca2MnCu
Source: Alexandria
Functional: PBE-GGA
Structure: relaxed

abc: 6.1958 6.1958 5.0431
angles: 66.10 66.10 33.61
Closest atoms and distances in Å follow each position.
Atoms (fractional coordinates):
Ca: 0.9913 0.9913 0.0089  4 Cu 3.12-3.13, 2 Mn 3.33-3.34, 2 Ca 3.38
Ca: 0.7817 0.7817 0.7176  4 Mn 3.23-3.24, 2 Cu 3.24, 6 Ca 3.38-3.60
Mn: 0.1941 0.1941 0.3053  2 Cu 2.49
Cu: 0.5329 0.5329 0.4682  2 Mn 2.49

## Properties
E_tot	-4.10	eV/atom
ΔE_f	219	meV per atom
energy above the lowest structure with this stoichiometry	0.054	eV/atom

---

(4)
Compound: Pm2Pr4NdTm
Source: Alexandria
Functional: PBE-GGA
Structure: relaxed

abc: 9.6813 9.6813 12.0535
angles: 128.35 128.35 88.41
Closest atoms and distances in Å follow each position.
Atoms (fractional coordinates):
Nd: 0.0000 0.5000 0.5000  6 Pr 3.39-3.49, 2 Pm 3.48
Nd: 0.0000 0.5000 0.0000  6 Pr 3.39-3.49, 2 Pm 3.48
Tm: 0.5000 0.5000 0.5000  6 Pr 3.30-3.54, 2 Tm 3.48
Tm: 0.0000 0.0000 0.0000  6 Pr 3.30-3.54, 2 Tm 3.48
Pm: 0.0000 0.0000 0.5000  6 Pr 3.41-3.63, 2 Pm 3.48
Pm: 0.5000 0.0000 0.5000  6 Pr 3.38-3.49, 2 Nd 3.48
Pm: 0.5000 0.5000 0.0000  6 Pr 3.41-3.63, 2 Pm 3.48
Pm: 0.5000 0.0000 0.0000  6 Pr 3.38-3.49, 2 Nd 3.48
Pr: 0.2446 0.7560 0.0005  1 Tm 3.30, 3 Pm 3.45-3.49, 2 Nd 3.47-3.49, 2 Pr 3.47-3.48
Pr: 0.2211 0.2204 0.4675  2 Tm 3.35-3.54, 3 Pm 3.38-3.63, 1 Nd 3.39, 2 Pr 3.48
Pr: 0.7554 0.2440 0.9995  1 Tm 3.30, 3 Pm 3.45-3.49, 2 Nd 3.47-3.49, 2 Pr 3.47-3.48
Pr: 0.2560 0.7446 0.5005  1 Tm 3.30, 3 Pm 3.45-3.49, 2 Nd 3.47-3.49, 2 Pr 3.47-3.48
Pr: 0.7789 0.7796 0.5325  2 Tm 3.35-3.54, 3 Pm 3.38-3.63, 1 Nd 3.39, 2 Pr 3.48
Pr: 0.2796 0.2789 0.0325  2 Tm 3.35-3.54, 3 Pm 3.38-3.63, 1 Nd 3.39, 2 Pr 3.48
Pr: 0.7440 0.2554 0.4995  1 Tm 3.30, 3 Pm 3.45-3.49, 2 Nd 3.47-3.49, 2 Pr 3.47-3.48
Pr: 0.7204 0.7211 0.9675  2 Tm 3.35-3.54, 3 Pm 3.38-3.63, 1 Nd 3.39, 2 Pr 3.48

## Properties
E_tot	-4.37	eV/atom
ΔE_f	366	meV per atom

---

(5)
Compound: Th5InAu
Source: Alexandria
Functional: PBE-GGA
Structure: relaxed

abc: 6.3276 6.3276 11.3939
angles: 80.78 80.78 93.70
Closest atoms and distances in Å follow each position.
Atoms (fractional coordinates):
In: 0.4674 0.5326 0.2500  9 Th 3.23-3.50
In: 0.5326 0.4674 0.7500  9 Th 3.23-3.50
Th: 0.9152 0.3907 0.3417  1 Au 2.95, 1 Th 3.26, 1 In 3.30
Th: 0.0848 0.6093 0.6583  1 Au 2.95, 1 Th 3.26, 1 In 3.30
Th: 0.1103 0.8897 0.2500  2 Au 3.03, 2 Th 3.26, 1 In 3.30
Th: 0.4235 0.2269 0.5347  1 Au 3.07, 1 In 3.23, 1 Th 3.26
Th: 0.2269 0.4235 0.0347  1 Au 3.07, 1 In 3.23, 1 Th 3.26
Th: 0.5765 0.7731 0.4653  1 Au 3.07, 1 In 3.23, 1 Th 3.26
Th: 0.8897 0.1103 0.7500  2 Au 3.03, 2 Th 3.26, 1 In 3.30
Th: 0.3907 0.9152 0.8417  1 Au 2.95, 1 Th 3.26, 1 In 3.30
Th: 0.6093 0.0848 0.1583  1 Au 2.95, 1 Th 3.26, 1 In 3.30
Th: 0.7731 0.5765 0.9653  1 Au 3.07, 1 In 3.23, 1 Th 3.26
Au: 0.0000 0.0000 0.0000  6 Th 2.95-3.07
Au: 0.0000 0.0000 0.5000  6 Th 2.95-3.07

## Properties
E_tot	-6.18	eV/atom
ΔE_f	-21	meV per atom

---

(6)
Compound: BaSc2As
Source: Alexandria
Functional: PBE-GGA
Structure: relaxed

abc: 3.5668 3.5668 9.0181
angles: 90.00 90.00 90.00
Closest atoms and distances in Å follow each position.
Atoms (fractional coordinates):
Sc: 0.0000 0.0000 0.4082  1 Sc 2.85, 4 As 2.90
Sc: 0.0000 0.0000 0.0918  1 Sc 2.85, 4 As 2.90
Ba: 0.5000 0.5000 0.7500  4 Ba 3.57, 8 Sc 3.98
As: 0.5000 0.5000 0.2500  8 Sc 2.90

## Properties
E_tot	-5.15	eV/atom
ΔE_f	-337	meV per atom

---

(7)
Compound: ZrTlSeS
Source: Alexandria
Functional: PBE-GGA
Structure: relaxed

abc: 3.6979 3.6990 8.7952
angles: 89.99 102.15 120.01
Closest atoms and distances in Å follow each position.
Atoms (fractional coordinates):
S: 0.5115 0.1536 0.6807  3 Zr 2.60
Zr: 0.2948 0.5452 0.8554  3 S 2.60, 3 Se 2.72
Se: 0.0939 0.9446 0.0533  3 Zr 2.72
Tl: 0.9778 0.3874 0.3803  3 S 3.34, 3 Se 3.51-3.52, 6 Tl 3.70

## Properties
E_tot	-5.72	eV/atom
formation energy without anion corrections	-1.092	eV/atom

---

(8)
Compound: Zn2IrCl
Source: Alexandria
Functional: PBE-GGA
Structure: relaxed

abc: 2.9134 6.9205 5.3584
angles: 39.12 90.00 90.00
Closest atoms and distances in Å follow each position.
Atoms (fractional coordinates):
Cl: 0.5000 0.5000 0.5000  6 Zn 2.62-2.68, 2 Cl 2.91
Zn: 0.0000 0.0000 0.0000  4 Cl 2.62, 2 Ir 2.68, 2 Zn 2.91
Zn: 0.5000 0.5000 0.0000  4 Ir 2.62, 2 Cl 2.68, 2 Zn 2.91
Ir: 0.0000 0.0000 0.5000  6 Zn 2.62-2.68, 2 Ir 2.91

## Properties
E_tot	-3.18	eV/atom
formation energy without anion corrections	0.138	eV/atom
energy above the lowest structure with this stoichiometry	0.403	eV/atom

---

(9)
Compound: K4Pu3AuS8
Source: Alexandria
Functional: PBE-GGA
Structure: relaxed

abc: 7.9604 8.6836 8.2088
angles: 117.97 119.00 90.00
Closest atoms and distances in Å follow each position.
Atoms (fractional coordinates):
K: 0.5000 0.0000 0.0000  6 S 3.03-3.24
K: 0.5000 0.0000 0.5000  6 S 3.17-3.35
K: 0.0000 0.0000 0.0000  6 S 3.20-3.31
K: 0.0000 0.0000 0.5000  6 S 3.17-3.35
S: 0.7305 0.7005 0.4610  3 Pu 2.76-2.79
S: 0.7329 0.6911 0.9566  1 Au 2.69, 2 Pu 2.74-2.77
S: 0.7763 0.3089 0.0434  1 Au 2.69, 2 Pu 2.74-2.77
S: 0.2552 0.7128 0.5104  2 Pu 2.69
S: 0.7448 0.2872 0.4896  2 Pu 2.69
S: 0.2695 0.2995 0.5390  3 Pu 2.76-2.79
S: 0.2237 0.6911 0.9566  1 Au 2.69, 2 Pu 2.74-2.77
S: 0.2671 0.3089 0.0434  1 Au 2.69, 2 Pu 2.74-2.77
Pu: 0.5000 0.5000 0.0000  6 S 2.74-2.79
Pu: 0.0000 0.5000 0.5000  6 S 2.69-2.77
Pu: 0.5000 0.5000 0.5000  6 S 2.69-2.77
Au: 0.0000 0.5000 0.0000  4 S 2.69

## Properties
E_tot	-6.51	eV/atom
formation energy without anion corrections	-1.283	eV/atom

---

(10)
Compound: TcPd12Pt3
Source: Alexandria
Functional: PBE-GGA
Structure: relaxed

abc: 3.9429 3.9429 15.7869
angles: 90.00 90.00 90.00
Closest atoms and distances in Å follow each position.
Atoms (fractional coordinates):
Pt: 0.0000 0.0000 0.7503  12 Pd 2.79-2.84
Pt: 0.0000 0.0000 0.2497  12 Pd 2.79-2.84
Pt: 0.0000 0.0000 0.5000  12 Pd 2.79
Pd: 0.0000 0.5000 0.6252  8 Pd 2.79-2.81, 4 Pt 2.79
Pd: 0.5000 0.5000 0.5000  4 Pt 2.79, 8 Pd 2.79
Pd: 0.5000 0.0000 0.1205  8 Pd 2.74-2.81, 2 Tc 2.74, 2 Pt 2.84
Pd: 0.5000 0.0000 0.8795  8 Pd 2.74-2.81, 2 Tc 2.74, 2 Pt 2.84
Pd: 0.0000 0.5000 0.1205  2 Tc 2.74, 8 Pd 2.74-2.81, 2 Pt 2.84
Pd: 0.0000 0.5000 0.8795  2 Tc 2.74, 8 Pd 2.74-2.81, 2 Pt 2.84
Pd: 0.5000 0.5000 0.0000  8 Pd 2.74, 4 Tc 2.79
Pd: 0.5000 0.5000 0.7523  4 Pt 2.79, 8 Pd 2.81
Pd: 0.0000 0.5000 0.3748  8 Pd 2.79-2.81, 4 Pt 2.79
Pd: 0.5000 0.0000 0.6252  8 Pd 2.79-2.81, 4 Pt 2.79
Pd: 0.5000 0.5000 0.2477  4 Pt 2.79, 8 Pd 2.81
Pd: 0.5000 0.0000 0.3748  8 Pd 2.79-2.81, 4 Pt 2.79
Tc: 0.0000 0.0000 0.0000  12 Pd 2.74-2.79

## Properties
E_tot	-5.67	eV/atom
ΔE_f	5	meV per atom